The following is a PBE-GGA calculation of crystalline TcOsO2F at its relaxed geometry, from Alexandria.

For the uncorrected formation energy, the calculation gives -0.106 eV/atom. As for the density of states at the Fermi level: 0.744 states/eV per atom. As for the symmetry: P4/mmm (123).

Cell lengths 3.677, 3.677, 6.521 Å; angles 90.00, 90.00, 90.00 degrees
Positions (direct):
Tc 0.000 0.000 0.000
Os 0.500 0.500 0.500
O 0.000 0.500 0.500
O 0.500 0.000 0.500
F 0.500 0.500 0.000


The following is a PBE-GGA calculation of crystalline TcOsO2F at its relaxed geometry, from Alexandria.

For the uncorrected formation energy, the calculation gives 0.226 eV/atom. As for the density of states at the Fermi level: 0.924 states/eV per atom. As for the symmetry: P4/mmm (123).

Cell lengths 3.834, 3.834, 4.450 Å; angles 90.00, 90.00, 90.00 degrees
Positions (direct):
Tc 0.000 0.000 0.000
Os 0.500 0.500 0.500
O 0.000 0.500 0.000
O 0.500 0.000 0.000
F 0.000 0.000 0.500


The following is a PBE-GGA calculation of crystalline TeOsOF2 at its relaxed geometry, from Alexandria.

For the uncorrected formation energy, the calculation gives 0.383 eV/atom. As for the density of states at the Fermi level: 0.900 states/eV per atom. As for the symmetry: P4/mmm (123).

Cell lengths 4.690, 4.690, 4.080 Å; angles 90.00, 90.00, 90.00 degrees
Positions (direct):
Te 0.000 0.000 0.000
Os 0.500 0.500 0.500
O 0.000 0.000 0.500
F 0.000 0.500 0.000
F 0.500 0.000 0.000


The following is a PBE-GGA calculation of crystalline TeOsOF2 at its relaxed geometry, from Alexandria.

For the uncorrected formation energy, the calculation gives -0.348 eV/atom. As for the density of states at the Fermi level: 0.460 states/eV per atom. As for the symmetry: P4/mmm (123).

Cell lengths 4.622, 4.622, 3.669 Å; angles 90.00, 90.00, 90.00 degrees
Positions (direct):
Te 0.000 0.000 0.000
Os 0.500 0.500 0.500
O 0.500 0.500 0.000
F 0.000 0.500 0.500
F 0.500 0.000 0.500


The following is a PBE-GGA calculation of crystalline Te2OsOF at its relaxed geometry, from Alexandria.

For the uncorrected formation energy, the calculation gives 1.177 eV/atom. As for the density of states at the Fermi level: 1.088 states/eV per atom. As for the symmetry: P4/mmm (123).

Cell lengths 5.127, 5.127, 3.792 Å; angles 90.00, 90.00, 90.00 degrees
Positions (direct):
Te 0.000 0.500 0.000
Te 0.500 0.000 0.000
Os 0.000 0.000 0.500
O 0.500 0.500 0.500
F 0.000 0.000 0.000


The following is a PBE-GGA calculation of crystalline TiOsO2F at its relaxed geometry, from Alexandria.

For the uncorrected formation energy, the calculation gives -0.705 eV/atom. As for the density of states at the Fermi level: 0.723 states/eV per atom. As for the symmetry: P4/mmm (123).

Cell lengths 3.669, 3.669, 6.101 Å; angles 90.00, 90.00, 90.00 degrees
Positions (direct):
Ti 0.000 0.000 0.000
Os 0.500 0.500 0.500
O 0.000 0.500 0.500
O 0.500 0.000 0.500
F 0.500 0.500 0.000


The following is a PBE-GGA calculation of crystalline TiOsO2F at its relaxed geometry, from Alexandria.

For the uncorrected formation energy, the calculation gives -0.875 eV/atom. As for the density of states at the Fermi level: 0.735 states/eV per atom. As for the symmetry: P4/mmm (123).

Cell lengths 3.912, 3.912, 3.967 Å; angles 90.00, 90.00, 90.00 degrees
Positions (direct):
Ti 0.000 0.000 0.000
Os 0.500 0.500 0.500
O 0.000 0.500 0.000
O 0.500 0.000 0.000
F 0.000 0.000 0.500


The following is a PBE-GGA calculation of crystalline TiOsOF2 at its relaxed geometry, from Alexandria.

For the uncorrected formation energy, the calculation gives -0.371 eV/atom. As for the density of states at the Fermi level: 1.510 states/eV per atom. As for the symmetry: P4/mmm (123).

Cell lengths 4.422, 4.422, 3.740 Å; angles 90.00, 90.00, 90.00 degrees
Positions (direct):
Ti 0.000 0.000 0.000
Os 0.500 0.500 0.500
O 0.500 0.500 0.000
F 0.000 0.500 0.500
F 0.500 0.000 0.500


Number 1: V 88 Å³ per cell, DFT total energy -33.912 eV/cell. Number 2: V 65 Å³ per cell, DFT total energy -32.253 eV/cell. Number 3: V 90 Å³ per cell, DFT total energy -21.159 eV/cell. Number 4: V 78 Å³ per cell, DFT total energy -24.815 eV/cell. Number 5: V 100 Å³ per cell, DFT total energy -18.457 eV/cell. Number 6: V 82 Å³ per cell, DFT total energy -34.439 eV/cell. Number 7: V 61 Å³ per cell, DFT total energy -35.287 eV/cell. Number 8: V 73 Å³ per cell, DFT total energy -29.679 eV/cell.